A relaxed structure of CeGa2Br5, computed with GGA-PBE.

Unit cell a=5.699 b=7.538 c=16.985 alpha=90.00 beta=90.00 gamma=112.21
Fractional positions:
Ce 0.755 0.510 0.750
Ce 0.245 0.490 0.250
Ga 0.750 0.501 0.514
Ga 0.750 0.501 0.986
Ga 0.250 0.499 0.486
Ga 0.250 0.499 0.014
Br 0.890 0.781 0.878
Br 0.890 0.781 0.622
Br 0.385 0.770 0.374
Br 0.385 0.770 0.126
Br 0.742 0.484 0.250
Br 0.258 0.516 0.750
Br 0.615 0.230 0.626
Br 0.615 0.230 0.874
Br 0.110 0.219 0.122
Br 0.110 0.219 0.378

Summary:
Space-group type: Cmcm (63)
Energy relative to the elements, uncorrected in eV/atom: -1.15

---

A relaxed structure of Y7Bi2Te2, computed with GGA-PBE.

Unit cell a=7.180 b=6.986 c=7.180 alpha=89.99 beta=98.89 gamma=90.01
Fractional positions:
Y 0.000 0.263 0.500
Y 0.500 0.737 0.000
Y 0.000 0.737 0.500
Y 0.500 0.263 0.000
Y 0.000 0.000 0.000
Y 0.500 0.741 0.500
Y 0.500 0.259 0.500
Bi 0.805 0.500 0.805
Bi 0.195 0.500 0.195
Te 0.723 0.000 0.277
Te 0.277 0.000 0.723

Summary:
Space-group type: Cmmm (65)
Energy relative to the elements, uncorrected in eV/atom: -0.49

---

A relaxed structure of Tb12DyTh5, computed with GGA-PBE.

Unit cell a=10.662 b=10.712 c=6.190 alpha=107.04 beta=90.00 gamma=60.16
Fractional positions:
Tb 0.835 0.000 0.500
Tb 0.165 0.000 0.500
Tb 0.662 0.000 0.000
Tb 0.338 0.000 0.000
Tb 0.332 0.665 0.001
Tb 0.003 0.665 0.001
Tb 0.997 0.335 0.999
Tb 0.668 0.335 0.999
Tb 0.498 0.333 0.501
Tb 0.831 0.667 0.499
Tb 0.169 0.333 0.501
Tb 0.502 0.667 0.499
Dy 0.000 0.000 0.000
Th 0.500 0.000 0.500
Th 0.167 0.665 0.495
Th 0.833 0.335 0.505
Th 0.666 0.667 0.999
Th 0.334 0.333 0.001

Summary:
Formation energy from the elements in kJ/mol of atoms: 4.5
Space-group type: C2/m (12)

---

A relaxed structure of SrHO, computed with GGA-PBE.

Unit cell a=3.859 b=3.859 c=4.349 alpha=116.34 beta=116.34 gamma=90.00
Fractional positions:
Sr 0.931 0.931 0.861
O 0.535 0.535 0.071
H 0.384 0.384 0.768

Summary:
Relative energy among the computed polymorphs in kJ/mol of formula units: 117
Space-group type: I4mm (107)

---

A relaxed structure of Ag3IN, computed with GGA-PBE.

Unit cell a=5.635 b=5.635 c=5.635 alpha=90.00 beta=90.00 gamma=90.00
Fractional positions:
I 0.000 0.000 0.000
Ag 0.000 0.500 0.000
Ag 0.000 0.000 0.500
Ag 0.500 0.000 0.000
N 0.500 0.500 0.500

Summary:
Relative energy among the computed polymorphs in kJ/mol of formula units: 491
Space-group type: Pm-3m (221)
Energy relative to the elements, uncorrected in eV/atom: 1.64

---

A relaxed structure of KScI2Br, computed with GGA-PBE.

Unit cell a=5.933 b=5.933 c=5.365 alpha=90.00 beta=90.00 gamma=90.00
Fractional positions:
I 0.000 0.500 0.000
I 0.500 0.000 0.000
Sc 0.000 0.000 0.000
K 0.500 0.500 0.500
Br 0.000 0.000 0.500

Summary:
Space-group type: P4/mmm (123)
Energy relative to the elements, uncorrected in eV/atom: -1.26

---

A relaxed structure of SrFeI, computed with GGA-PBE.

Unit cell a=13.422 b=4.022 c=6.960 alpha=90.00 beta=97.55 gamma=90.00
Fractional positions:
I 0.154 0.000 0.746
I 0.846 0.000 0.254
I 0.154 0.500 0.246
I 0.846 0.500 0.754
Sr 0.319 0.000 0.454
Sr 0.681 0.000 0.546
Sr 0.319 0.500 0.954
Sr 0.681 0.500 0.046
Fe 0.500 0.000 0.833
Fe 0.500 0.000 0.167
Fe 0.500 0.500 0.333
Fe 0.500 0.500 0.667

Summary:
Space-group type: C2/m (12)
Energy relative to the elements, uncorrected in eV/atom: -0.36

---

A relaxed structure of Tc2NiIr8, computed with GGA-PBE.

Unit cell a=4.312 b=5.741 c=7.439 alpha=112.69 beta=106.85 gamma=90.00
Fractional positions:
Tc 0.194 0.694 0.388
Tc 0.806 0.306 0.612
Ni 0.500 0.000 0.000
Ir 0.637 0.860 0.274
Ir 0.363 0.587 0.726
Ir 0.177 0.177 0.354
Ir 0.000 0.269 0.000
Ir 0.823 0.823 0.646
Ir 0.637 0.413 0.274
Ir 0.363 0.140 0.726
Ir 0.000 0.731 0.000

Summary:
Formation energy from the elements in kJ/mol of atoms: 7.5
Space-group type: Immm (71)

---

A relaxed structure of AcSm2Tm4, computed with GGA-PBE.

Unit cell a=8.520 b=9.663 c=9.296 alpha=137.76 beta=114.08 gamma=76.38
Fractional positions:
Ac 0.142 0.646 0.484
Ac 0.037 0.175 0.873
Sm 0.699 0.513 0.052
Sm 0.611 0.028 0.447
Sm 0.480 0.308 0.305
Sm 0.280 0.364 0.627
Tm 0.848 0.211 0.187
Tm 0.327 0.610 0.172
Tm 0.897 0.463 0.733
Tm 0.749 0.739 0.596
Tm 0.183 0.892 0.035
Tm 0.432 0.081 0.763
Tm 0.571 0.791 0.906
Tm 0.992 0.928 0.319

Summary:
Relative energy among the computed polymorphs in kJ/mol of formula units: 0
Formation energy from the elements in kJ/mol of atoms: 3.5
Space-group type: P1 (1)

---

A relaxed structure of Cu3SnS, computed with GGA-PBE.

Unit cell a=4.847 b=4.847 c=4.847 alpha=90.00 beta=90.00 gamma=90.00
Fractional positions:
S 0.500 0.500 0.500
Sn 0.000 0.000 0.000
Cu 0.000 0.500 0.000
Cu 0.000 0.000 0.500
Cu 0.500 0.000 0.000

Summary:
Relative energy among the computed polymorphs in kJ/mol of formula units: 359
Space-group type: Pm-3m (221)
Energy relative to the elements, uncorrected in eV/atom: 1.03

---

A relaxed structure of AcPbBr, computed with GGA-PBE.

Unit cell a=4.604 b=4.604 c=10.086 alpha=103.21 beta=103.21 gamma=90.00
Fractional positions:
Ac 0.867 0.867 0.735
Ac 0.133 0.133 0.265
Br 0.307 0.307 0.615
Br 0.693 0.693 0.385
Pb 0.500 0.000 0.000
Pb 0.000 0.500 0.000

Summary:
Relative energy among the computed polymorphs in kJ/mol of formula units: 0
Space-group type: I4/mmm (139)
Energy relative to the elements, uncorrected in eV/atom: -1.11

---

A relaxed structure of LaBPd2Au, computed with GGA-PBE.

Unit cell a=4.513 b=4.513 c=4.417 alpha=90.00 beta=90.00 gamma=90.00
Fractional positions:
B 0.000 0.000 0.000
Au 0.000 0.000 0.500
Pd 0.000 0.500 0.000
Pd 0.500 0.000 0.000
La 0.500 0.500 0.500

Summary:
Formation energy from the elements in kJ/mol of atoms: -44.0
Space-group type: P4/mmm (123)

---

A relaxed structure of MnOs3, computed with GGA-PBE.

Unit cell a=2.713 b=4.265 c=4.688 alpha=90.00 beta=90.00 gamma=90.00
Fractional positions:
Mn 0.000 0.000 0.998
Os 0.000 0.500 0.323
Os 0.500 0.000 0.504
Os 0.500 0.500 0.842

Summary:
Formation energy from the elements in kJ/mol of atoms: -0.3
Space-group type: Pmm2 (25)

---

A relaxed structure of ZnCr2Ni, computed with GGA-PBE.

Unit cell a=4.467 b=4.467 c=4.467 alpha=130.14 beta=130.14 gamma=73.19
Fractional positions:
Cr 0.000 0.000 0.000
Cr 0.250 0.750 0.500
Ni 0.500 0.500 0.000
Zn 0.750 0.250 0.500

Summary:
Formation energy from the elements in kJ/mol of atoms: 9.5
Space-group type: I-4m2 (119)

---

A relaxed structure of ScCoHPt2, computed with GGA-PBE.

Unit cell a=4.002 b=4.002 c=3.912 alpha=90.00 beta=90.00 gamma=90.00
Fractional positions:
Sc 0.500 0.500 0.500
H 0.000 0.000 0.000
Co 0.000 0.000 0.500
Pt 0.000 0.500 0.000
Pt 0.500 0.000 0.000

Summary:
Space-group type: P4/mmm (123)

---

A relaxed structure of SrTmTe, computed with GGA-PBE.

Unit cell a=4.185 b=4.185 c=36.509 alpha=90.00 beta=90.00 gamma=120.00
Fractional positions:
Tm 0.667 0.333 0.035
Tm 0.333 0.667 0.965
Tm 0.333 0.667 0.857
Tm 0.667 0.333 0.143
Te 0.667 0.333 0.290
Te 0.667 0.333 0.910
Te 0.333 0.667 0.090
Te 0.333 0.667 0.710
Sr 0.667 0.333 0.651
Sr 0.333 0.667 0.349
Sr 0.333 0.667 0.229
Sr 0.667 0.333 0.771

Summary:
Space-group type: P-3m1 (164)
Energy relative to the elements, uncorrected in eV/atom: -0.67

---

A relaxed structure of Mg8HgAu2, computed with GGA-PBE.

Unit cell a=5.081 b=7.405 c=7.405 alpha=114.28 beta=99.87 gamma=99.87
Fractional positions:
Mg 0.909 0.923 0.677
Mg 0.909 0.677 0.923
Mg 0.307 0.614 0.614
Mg 0.500 0.765 0.235
Mg 0.500 0.235 0.765
Mg 0.693 0.386 0.386
Mg 0.091 0.323 0.077
Mg 0.091 0.077 0.323
Hg 0.500 0.000 0.000
Au 0.000 0.310 0.690
Au 0.000 0.690 0.310

Summary:
Relative energy among the computed polymorphs in kJ/mol of formula units: 35
Formation energy from the elements in kJ/mol of atoms: -28.2
Space-group type: C2/m (12)

---

A relaxed structure of Sm2Dy8Er, computed with GGA-PBE.

Unit cell a=6.648 b=10.160 c=10.160 alpha=38.17 beta=59.54 gamma=59.54
Fractional positions:
Sm 0.600 0.801 0.801
Sm 0.400 0.199 0.199
Dy 0.228 0.350 0.825
Dy 0.772 0.175 0.650
Dy 0.180 0.756 0.756
Dy 0.820 0.244 0.244
Dy 0.228 0.825 0.350
Dy 0.772 0.650 0.175
Dy 0.730 0.589 0.589
Dy 0.270 0.411 0.411
Er 0.000 0.000 0.000

Summary:
Relative energy among the computed polymorphs in kJ/mol of formula units: 155
Formation energy from the elements in kJ/mol of atoms: 15.9
Space-group type: C2/m (12)

---

A relaxed structure of FeTc2Cl, computed with GGA-PBE.

Unit cell a=5.114 b=5.114 c=5.114 alpha=147.68 beta=129.77 gamma=61.00
Fractional positions:
Cl 0.500 0.500 0.000
Tc 0.996 0.996 0.000
Tc 0.733 0.233 0.500
Fe 0.271 0.771 0.500

Summary:
Relative energy among the computed polymorphs in kJ/mol of formula units: 143
Space-group type: Imm2 (44)
Energy relative to the elements, uncorrected in eV/atom: 0.62

---

A relaxed structure of Ba2Dy3Te6, computed with GGA-PBE.

Unit cell a=7.750 b=7.751 c=8.431 alpha=81.15 beta=72.07 gamma=60.01
Fractional positions:
Ba 0.166 0.668 0.500
Ba 0.834 0.332 0.500
Dy 0.000 0.000 0.000
Dy 0.332 0.337 0.000
Dy 0.668 0.663 0.000
Te 0.406 0.671 0.783
Te 0.734 0.000 0.784
Te 0.077 0.329 0.783
Te 0.266 0.000 0.216
Te 0.594 0.329 0.217
Te 0.923 0.671 0.217

Summary:
Space-group type: C2/m (12)
Energy relative to the elements, uncorrected in eV/atom: -1.53

---

A relaxed structure of LaPmBrN, computed with GGA-PBE.

Unit cell a=3.732 b=3.742 c=7.816 alpha=89.97 beta=103.81 gamma=120.15
Fractional positions:
La 0.516 0.156 0.688
Pm 0.089 0.943 0.047
Br 0.960 0.378 0.352
N 0.313 0.555 0.883

Summary:
Space-group type: Cm (8)
Energy relative to the elements, uncorrected in eV/atom: -1.43

---

A relaxed structure of InTe2W, computed with GGA-PBE.

Unit cell a=3.473 b=3.473 c=10.127 alpha=80.32 beta=80.32 gamma=59.99
Fractional positions:
In 0.250 0.250 0.250
Te 0.021 0.021 0.940
Te 0.479 0.479 0.560
W 0.750 0.750 0.750

Summary:
Space-group type: C2/m (12)
Energy relative to the elements, uncorrected in eV/atom: 0.14

---

A relaxed structure of YP2Au, computed with GGA-PBE.

Unit cell a=6.083 b=6.083 c=6.083 alpha=38.97 beta=38.97 gamma=38.97
Fractional positions:
Au 0.750 0.750 0.750
P 0.008 0.008 0.008
P 0.492 0.492 0.492
Y 0.250 0.250 0.250

Summary:
Relative energy among the computed polymorphs in kJ/mol of formula units: 113
Formation energy from the elements in kJ/mol of atoms: -41.9
Space-group type: R-3m (166)

---

A relaxed structure of Mg2TaMo, computed with GGA-PBE.

Unit cell a=3.493 b=4.265 c=4.817 alpha=90.00 beta=90.00 gamma=90.00
Fractional positions:
Mg 0.000 0.000 0.000
Mg 0.500 0.500 0.000
Mo 0.500 0.000 0.500
Ta 0.000 0.500 0.500

Summary:
Relative energy among the computed polymorphs in kJ/mol of formula units: 52
Formation energy from the elements in kJ/mol of atoms: 27.3
Space-group type: Pmmm (47)

---

A relaxed structure of Li6Tl2Pd, computed with GGA-PBE.

Unit cell a=4.765 b=6.798 c=6.798 alpha=48.37 beta=77.78 gamma=77.78
Fractional positions:
Li 0.344 0.333 0.866
Li 0.229 0.793 0.793
Li 0.344 0.866 0.333
Li 0.656 0.667 0.134
Li 0.771 0.207 0.207
Li 0.656 0.134 0.667
Tl 0.823 0.628 0.628
Tl 0.177 0.372 0.372
Pd 0.000 0.000 0.000

Summary:
Relative energy among the computed polymorphs in kJ/mol of formula units: 0
Formation energy from the elements in kJ/mol of atoms: -19.8
Space-group type: C2/m (12)

---

Number 1: Fermi-level density of states 15.42 states/eV/cell, calculated total energy -3.69 eV/atom. Number 2: Fermi-level density of states 12.17 states/eV/cell, calculated total energy -5.88 eV/atom. Number 3: Fermi-level density of states 28.40 states/eV/cell, calculated total energy -5.36 eV/atom. Number 4: Fermi-level density of states 0.94 states/eV/cell, calculated total energy -4.62 eV/atom. Number 5: Fermi-level density of states 3.03 states/eV/cell, calculated total energy -2.04 eV/atom. Number 6: Fermi-level density of states 2.37 states/eV/cell, calculated total energy -3.70 eV/atom. Number 7: Fermi-level density of states 7.92 states/eV/cell, calculated total energy -4.26 eV/atom. Number 8: Fermi-level density of states 10.94 states/eV/cell, calculated total energy -8.78 eV/atom. Number 9: Fermi-level density of states 22.66 states/eV/cell, calculated total energy -4.45 eV/atom. Number 10: Fermi-level density of states 6.89 states/eV/cell, calculated total energy -3.06 eV/atom. Number 11: Fermi-level density of states 1.45 states/eV/cell, calculated total energy -4.27 eV/atom. Number 12: Fermi-level density of states 2.77 states/eV/cell, calculated total energy -5.51 eV/atom. Number 13: Fermi-level density of states 3.32 states/eV/cell, calculated total energy -10.72 eV/atom. Number 14: Fermi-level density of states 2.84 states/eV/cell, calculated total energy -6.48 eV/atom. Number 15: Fermi-level density of states 2.40 states/eV/cell, calculated total energy -6.34 eV/atom. Number 16: Fermi-level density of states 10.24 states/eV/cell, calculated total energy -3.76 eV/atom. Number 17: Fermi-level density of states 4.32 states/eV/cell, calculated total energy -2.07 eV/atom. Number 18: Fermi-level density of states 16.36 states/eV/cell, calculated total energy -4.46 eV/atom. Number 19: Fermi-level density of states 3.20 states/eV/cell, calculated total energy -7.14 eV/atom. Number 20: Fermi-level density of states 3.79 states/eV/cell, calculated total energy -4.85 eV/atom. Number 21: Fermi-level density of states 0.81 states/eV/cell, calculated total energy -6.35 eV/atom. Number 22: Fermi-level density of states 2.37 states/eV/cell, calculated total energy -5.35 eV/atom. Number 23: Fermi-level density of states 3.58 states/eV/cell, calculated total energy -5.57 eV/atom. Number 24: Fermi-level density of states 3.51 states/eV/cell, calculated total energy -6.19 eV/atom. Number 25: Fermi-level density of states 2.99 states/eV/cell, calculated total energy -2.58 eV/atom.